InHg | PBE | optimized geometry

Magnetization, μB/cell: 0.00
Formation energy from the elements, eV per atom: 0.001
Final energy, eV per atom: -1.520

a = 5.8877 Å, b = 3.7974 Å, c = 4.9795 Å
α = 90.00°, β = 106.05°, γ = 90.00°
Last column: nearest neighbours and their distance in Å.
Space group C2/m (No. 12)
Unique sites:
In (0.0000, 0.0000, 0.0000)  6 Hg 3.13-3.29, 4 In 3.50
Hg (0.0000, 0.5000, 0.5000)  6 In 3.13-3.29, 4 Hg 3.50



InHg | PBE | optimized geometry

Magnetization, μB/cell: 0.00
Formation energy from the elements, eV per atom: 0.013
Final energy, eV per atom: -1.507

a = 11.3088 Å, b = 3.4348 Å, c = 5.6145 Å
α = 90.00°, β = 104.44°, γ = 90.00°
Last column: nearest neighbours and their distance in Å.
Space group C2/m (No. 12)
Unique sites:
In (0.1218, 0.0000, 0.3207)  7 Hg 3.15-3.30, 2 In 3.43
Hg (0.1268, 0.5000, 0.8243)  7 In 3.15-3.30, 4 Hg 3.43-3.44



- Which value of magnetization does entry 1 give?
  0.00 μB/cell



- The lowest final energy belongs to which entry?
  number 1



- Which formula does entry 2 have?
  InHg



- Number 2 is which compound?
  InHg